A plane-wave DFT calculation with PBE-GGA was carried out for crystalline Ce2PmDy at its relaxed geometry.

Cell: 3.5055 3.5055 11.7935 Å, 81.45 81.45 60.00°
With the nearest neighbours (Å) after each atom.
Positions (direct):
Dy1 0.6679 0.6679 0.9962  6 Ce 3.48-3.55, 6 Dy 3.51
Ce1 0.2510 0.2510 0.2469  6 Ce 3.51, 3 Dy 3.55, 3 Pm 3.61
Ce2 0.0824 0.0824 0.7527  3 Dy 3.48, 6 Ce 3.51, 3 Pm 3.53
Pm1 0.4986 0.4986 0.5042  6 Pm 3.51, 6 Ce 3.53-3.61

Calculated formation energy: 0.106 eV per atom
Space group: No. 160

A plane-wave DFT calculation with PBE-GGA was carried out for crystalline Rb2BiSbO6 at its relaxed geometry.

Cell: 5.9865 5.9865 5.9865 Å, 60.00 60.00 60.00°
With the nearest neighbours (Å) after each atom.
Positions (direct):
O1 0.7602 0.7602 0.2398  1 Sb 2.03, 1 Bi 2.20
Rb1 0.2500 0.2500 0.2500  12 O 2.99
O2 0.2398 0.7602 0.2398  1 Sb 2.03, 1 Bi 2.20
Sb1 0.0000 0.0000 0.0000  6 O 2.03
O3 0.7602 0.2398 0.2398  1 Sb 2.03, 1 Bi 2.20
O4 0.7602 0.2398 0.7602  1 Sb 2.03, 1 Bi 2.20
Bi1 0.5000 0.5000 0.5000  6 O 2.20
O5 0.2398 0.2398 0.7602  1 Sb 2.03, 1 Bi 2.20
O6 0.2398 0.7602 0.7602  1 Sb 2.03, 1 Bi 2.20
Rb2 0.7500 0.7500 0.7500  12 O 2.99

Raw formation energy: -1.216 eV per atom
Space group: No. 225

A plane-wave DFT calculation with PBE-GGA was carried out for crystalline Zr4OsRh3 at its relaxed geometry.

Cell: 3.2875 4.6744 9.3331 Å, 90.00 90.00 90.00°
With the nearest neighbours (Å) after each atom.
Positions (direct):
Rh1 0.5000 0.0000 0.7487  8 Zr 2.84-2.86
Zr1 0.0000 0.0000 0.0000  4 Os 2.86, 4 Rh 2.86
Rh2 0.5000 0.5000 0.5000  8 Zr 2.86-2.88
Rh3 0.5000 0.0000 0.2513  8 Zr 2.84-2.86
Zr2 0.0000 0.5000 0.2472  2 Os 2.83, 6 Rh 2.86-2.88
Zr3 0.0000 0.5000 0.7528  2 Os 2.83, 6 Rh 2.86-2.88
Zr4 0.0000 0.0000 0.5000  8 Rh 2.84-2.86
Os1 0.5000 0.5000 0.0000  8 Zr 2.83-2.86

Calculated formation energy: -0.700 eV per atom
Space group: No. 47

A plane-wave DFT calculation with PBE-GGA was carried out for crystalline Pa2GaFe2 at its relaxed geometry.

Cell: 5.6399 5.6399 7.0925 Å, 93.49 113.20 115.35°
With the nearest neighbours (Å) after each atom.
Positions (direct):
Fe1 0.2281 0.2542 0.4133  1 Pa 2.24
Fe2 0.1592 0.6852 0.9133  1 Pa 2.24
Pa1 0.3862 0.2958 0.1662  1 Fe 2.24
Pa2 0.8704 0.2800 0.6662  1 Fe 2.24
Pa3 0.1296 0.7200 0.3338  1 Fe 2.24
Ga1 0.6671 0.9171 0.2500  4 Fe 2.58
Ga2 0.3329 0.0829 0.7500  4 Fe 2.58
Pa4 0.6138 0.7042 0.8338  1 Fe 2.24
Fe3 0.8408 0.3148 0.0867  1 Pa 2.24
Fe4 0.7719 0.7458 0.5867  1 Pa 2.24

Calculated formation energy: -0.289 eV per atom
Space group: No. 15

A plane-wave DFT calculation with PBE-GGA was carried out for crystalline CuTeBr3 at its relaxed geometry.

Cell: 5.0232 5.0232 5.0232 Å, 90.00 90.00 90.00°
With the nearest neighbours (Å) after each atom.
Positions (direct):
Br1 0.0000 0.5000 0.0000  2 Cu 2.51
Te1 0.5000 0.5000 0.5000  12 Br 3.55
Cu1 0.0000 0.0000 0.0000  6 Br 2.51
Br2 0.0000 0.0000 0.5000  2 Cu 2.51
Br3 0.5000 0.0000 0.0000  2 Cu 2.51

Raw formation energy: 0.142 eV per atom
Space group: No. 221

A plane-wave DFT calculation with PBE-GGA was carried out for crystalline NdAg2Hg at its relaxed geometry.

Cell: 3.7852 3.7852 6.6472 Å, 90.00 90.00 90.00°
With the nearest neighbours (Å) after each atom.
Positions (direct):
Nd1 0.5000 0.5000 0.5000  8 Ag 3.21, 2 Hg 3.32
Ag1 0.0000 0.0000 0.2325  4 Hg 3.09, 1 Ag 3.09, 4 Nd 3.21
Ag2 0.0000 0.0000 0.7675  4 Hg 3.09, 1 Ag 3.09, 4 Nd 3.21
Hg1 0.5000 0.5000 0.0000  8 Ag 3.09, 2 Nd 3.32

Calculated formation energy: -0.141 eV per atom
Space group: No. 123

Let's list ρ in order: 7.893; 6.542; 10.002; 11.866; 5.645; 9.774 g/cm³.
Let's list DOS(E_F) in order: 10.05; 6.89; 5.45; 10.48; 3.35; 2.83 states/eV per cell.